Record 1
## HoMg2Sc (meta-GGA SCAN)

Data for a PBEsol-optimized structure of HoMg2Sc.

Cell and atoms, written as POSCAR:
```
HoMg2Sc
1.0
-0.8780 -5.0777 0.1529
-0.2893 -2.6990 -4.3828
3.7563 -3.3041 -1.2453
Sc Mg Ho
1 2 1
direct
0.5000 0.5000 0.5000
0.7500 0.7500 0.7500
0.2500 0.2500 0.2500
0.0000 0.0000 0.0000
```

***

Record 2
## HoMgSn (meta-GGA SCAN)

Data for a PBEsol-optimized structure of HoMgSn.

Cell and atoms, written as POSCAR:
```
HoMgSn
1.0
4.3260 0.0000 0.0000
0.0000 4.3260 0.0000
-2.1630 -2.1630 7.8406
Mg Ho Sn
2 2 2
direct
0.0000 0.5000 0.0000
0.5000 0.0000 0.0000
0.3327 0.3327 0.6655
0.6673 0.6673 0.3345
0.8630 0.8630 0.7260
0.1370 0.1370 0.2740
```

***

Record 3
## Ho2MgTl (meta-GGA SCAN)

Data for a PBEsol-optimized structure of Ho2MgTl.

Cell and atoms, written as POSCAR:
```
Ho2MgTl
1.0
5.2335 0.0000 0.0000
2.6168 4.5324 0.0000
2.6168 1.5108 4.2731
Mg Tl Ho
1 1 2
direct
0.0000 0.0000 0.0000
0.5000 0.5000 0.5000
0.2500 0.2500 0.2500
0.7500 0.7500 0.7500
```

***

Computed ΔE_f, in the same sequence as the records: -0.050 -0.644 -0.337 eV per atom.
Computed total magnetic moment, in the same sequence as the records: 0.0 0.0 0.0 μB per cell.
Computed N(E_F), in the same sequence as the records: 1.20 0.33 0.89 states/eV/atom.